No. 1
Entry from Alexandria: Sm3CdAu after structural relaxation (GGA-PBE).

Cell lengths 5.2882, 19.9956, 5.2735 Å; angles 90.00, 90.00, 90.00 degrees
With the nearest neighbours (Å) after each atom.
Space group Cmcm (No. 63)
One atom of each set of equivalent atoms:
Sm (0.0000, 0.0612, 0.2500) x4  2 Cd 3.22, 2 Au 3.33, 2 Sm 3.60
Sm (0.0000, 0.2487, 0.2500) x4  4 Au 3.16-3.18, 4 Cd 3.25-3.29
Sm (0.0000, 0.4341, 0.2500) x4  2 Cd 3.17, 2 Au 3.27
Cd (0.0000, 0.1533, 0.7500) x4  8 Sm 3.17-3.29
Au (0.0000, 0.3376, 0.7500) x4  8 Sm 3.16-3.33

Output
Total magnetization, μB per formula unit: 0.00
Energy of formation from the pure elements, eV per atom: -0.41

=====

No. 2
Entry from Alexandria: LiPt2Br after structural relaxation (GGA-PBE).

Cell lengths 3.6826, 3.6587, 5.4778 Å; angles 90.00, 90.18, 90.00 degrees
With the nearest neighbours (Å) after each atom.
Space group Pm (No. 6)
One atom of each set of equivalent atoms:
Li (0.0000, 0.0000, 0.0000) x1  2 Pt 2.60-2.88, 4 Br 2.64-2.65
Pt (0.0033, 0.0000, 0.5262) x1  2 Li 2.60-2.88, 4 Pt 2.63
Pt (0.5034, 0.5000, 0.6002) x1  4 Pt 2.63, 2 Br 2.69-2.79
Br (0.5013, 0.5000, 0.0915) x1  4 Li 2.64-2.65, 2 Pt 2.69-2.79

Output
Total magnetization, μB per formula unit: 0.00
Formation energy without anion corrections, meV/atom: -230

=====

No. 3
Entry from Alexandria: Ca2In5Sn after structural relaxation (GGA-PBE).

Cell lengths 6.7229, 13.4223, 4.6837 Å; angles 90.00, 90.00, 90.00 degrees
With the nearest neighbours (Å) after each atom.
Space group Pbam (No. 55)
One atom of each set of equivalent atoms:
Ca (0.2416, 0.1216, 0.0000) x4  2 Sn 3.28, 10 In 3.34-3.38
In (0.0000, 0.5000, 0.5000) x2  6 In 3.32-3.36, 4 Ca 3.34, 2 Sn 3.36
In (0.0091, 0.7500, 0.5000) x4  7 In 3.31-3.36, 1 Sn 3.36, 4 Ca 3.36
In (0.2397, 0.3717, 0.0000) x4  6 In 3.31-3.32, 4 Ca 3.35-3.38, 2 Sn 3.39
Sn (0.0000, 0.0000, 0.5000) x2  4 Ca 3.28, 8 In 3.36-3.39

Output
Total magnetization, μB per formula unit: 0.00
Energy of formation from the pure elements, eV per atom: -0.33

=====

No. 4
Entry from Alexandria: NaSm5S8 after structural relaxation (GGA-PBE).

Cell lengths 8.4991, 8.4991, 8.5005 Å; angles 90.00, 90.00, 90.00 degrees
With the nearest neighbours (Å) after each atom.
Space group I-4 (No. 82)
One atom of each set of equivalent atoms:
Na (0.0000, 0.0000, 0.0000) x2  8 S 2.88-3.13
Sm (0.0000, 0.5000, 0.7500) x2  8 S 2.83-3.02
Sm (0.1305, 0.7469, 0.3716) x8  8 S 2.80-3.10
S (0.0737, 0.8184, 0.6885) x8  5 Sm 2.80-3.10, 1 Na 3.13
S (0.0748, 0.6734, 0.0503) x8  5 Sm 2.84-3.04, 1 Na 2.88

Output
Total magnetization, μB per formula unit: 0.00
Formation energy without anion corrections, meV/atom: -1989

=====

No. 5
Entry from Alexandria: AcPmBiO6 after structural relaxation (GGA-PBE).

Cell lengths 5.9510, 5.9510, 5.1965 Å; angles 90.00, 90.00, 120.00 degrees
With the nearest neighbours (Å) after each atom.
Space group P312 (No. 149)
One atom of each set of equivalent atoms:
Ac (0.0000, 0.0000, 0.0000) x1  6 O 2.54
Pm (0.3333, 0.6667, 0.5000) x1  6 O 2.36
Bi (0.6667, 0.3333, 0.5000) x1  6 O 2.15
O (0.3649, 0.0272, 0.7241) x6  1 Bi 2.15, 1 Pm 2.36

Output
Total magnetization, μB per formula unit: 1.06
Formation energy without anion corrections, meV/atom: -2088

=====

No. 6
Entry from Alexandria: MgSnRu2 after structural relaxation (GGA-PBE).

Cell lengths 4.4597, 4.4597, 3.2150 Å; angles 90.00, 90.00, 90.00 degrees
With the nearest neighbours (Å) after each atom.
Space group P4/mmm (No. 123)
One atom of each set of equivalent atoms:
Mg (0.0000, 0.0000, 0.0000) x1  8 Ru 2.75
Sn (0.5000, 0.5000, 0.0000) x1  8 Ru 2.75
Ru (0.0000, 0.5000, 0.5000) x2  4 Sn 2.75, 4 Mg 2.75

Output
Total magnetization, μB per formula unit: 0.00
Energy of formation from the pure elements, eV per atom: -0.09

=====

No. 7
Entry from Alexandria: ScAlI2 after structural relaxation (GGA-PBE).

Cell lengths 10.4783, 10.4783, 5.7725 Å; angles 90.00, 90.00, 90.00 degrees
With the nearest neighbours (Å) after each atom.
Space group I-42d (No. 122)
One atom of each set of equivalent atoms:
Sc (0.0000, 0.0000, 0.0000) x4  2 Al 2.89, 4 I 2.90
Al (0.0000, 0.0000, 0.5000) x4  2 Sc 2.89
I (0.0964, 0.2500, 0.1250) x8  2 Sc 2.90

Output
Total magnetization, μB per formula unit: 0.00
Formation energy without anion corrections, meV/atom: -282

=====

No. 8
Entry from Alexandria: Rb2U2RhSe6 after structural relaxation (GGA-PBE).

Cell lengths 6.9272, 11.7856, 8.6570 Å; angles 90.00, 105.86, 90.00 degrees
With the nearest neighbours (Å) after each atom.
Space group C2/m (No. 12)
One atom of each set of equivalent atoms:
Rb (0.0000, 0.1697, 0.0000) x4  6 Se 3.45-3.49
U (0.0000, 0.3300, 0.5000) x4  6 Se 2.83-2.84
Rh (0.0000, 0.0000, 0.5000) x2  6 Se 2.63-2.68
Se (0.2273, 0.1562, 0.6911) x8  1 Rh 2.68, 2 U 2.83-2.84
Se (0.2473, 0.0000, 0.3167) x4  1 Rh 2.63, 2 U 2.84

Output
Total magnetization, μB per formula unit: 5.02
Formation energy without anion corrections, meV/atom: -1004

=====

No. 9
Entry from Alexandria: Ge2OsCl after structural relaxation (GGA-PBE).

Cell lengths 6.5269, 6.5269, 6.5269 Å; angles 90.00, 90.00, 90.00 degrees
With the nearest neighbours (Å) after each atom.
Space group Fm-3m (No. 225)
One atom of each set of equivalent atoms:
Ge (0.2500, 0.2500, 0.2500) x8  4 Cl 2.83, 4 Os 2.83
Os (0.0000, 0.0000, 0.0000) x4  8 Ge 2.83
Cl (0.0000, 0.0000, 0.5000) x4  8 Ge 2.83

Output
Total magnetization, μB per formula unit: 1.10
Formation energy without anion corrections, meV/atom: 831

=====

No. 10
Entry from Alexandria: LiYCu2Ge2 after structural relaxation (GGA-PBE).

Cell lengths 4.1716, 4.1716, 6.6032 Å; angles 90.00, 90.00, 120.00 degrees
With the nearest neighbours (Å) after each atom.
Space group P-3m1 (No. 164)
One atom of each set of equivalent atoms:
Li (0.0000, 0.0000, 0.0000) x1  6 Cu 2.66, 6 Ge 2.82
Y (0.0000, 0.0000, 0.5000) x1  6 Ge 3.02, 6 Cu 3.24, 2 Li 3.30
Cu (0.3333, 0.6667, 0.1723) x2  4 Ge 2.43-2.61, 3 Li 2.66
Ge (0.3333, 0.6667, 0.7765) x2  4 Cu 2.43-2.61

Output
Total magnetization, μB per formula unit: 0.00
Energy of formation from the pure elements, eV per atom: -0.48

=====

No. 11
Entry from Alexandria: NaInC after structural relaxation (GGA-PBE).

Cell lengths 8.9606, 9.1294, 11.4963 Å; angles 90.00, 90.00, 90.00 degrees
With the nearest neighbours (Å) after each atom.
Space group Fddd (No. 70, origin choice 2)
One atom of each set of equivalent atoms:
Na (0.1250, 0.1250, 0.0005) x16  4 C 2.69-2.70, 1 Na 2.86
In (0.0000, 0.0000, 0.5000) x16  2 C 2.13
C (0.1213, 0.3750, 0.8750) x16  2 In 2.13

Output
Total magnetization, μB per formula unit: 0.00
Energy of formation from the pure elements, eV per atom: 0.89

=====

No. 12
Entry from Alexandria: CsNa2HgTe after structural relaxation (GGA-PBE).

Cell lengths 5.9518, 5.9518, 7.5469 Å; angles 90.00, 90.00, 90.00 degrees
With the nearest neighbours (Å) after each atom.
Space group P4/mmm (No. 123)
One atom of each set of equivalent atoms:
Cs (0.0000, 0.0000, 0.0000) x1  2 Te 3.77, 4 Hg 4.21
Na (0.0000, 0.5000, 0.5000) x2  2 Te 2.98
Hg (0.5000, 0.5000, 0.0000) x1  4 Cs 4.21
Te (0.0000, 0.0000, 0.5000) x1  4 Na 2.98

Output
Total magnetization, μB per formula unit: 0.00
Formation energy without anion corrections, meV/atom: -473